No. 1
Here is an optimized crystal structure of Hf4MgSe8 from Alexandria. Energies are from PBE. Values from VASP.

The total energy is -6.64 eV/atom. The density of states at the Fermi level comes out at 4.8 states/eV/cell. Its space group is No. 12. Its crystal system is monoclinic. For the raw formation energy, the calculation gives -1.31 eV/atom.

```
&SYSTEM
  ibrav = 0, nat = 13, ntyp = 3
/
ATOMIC_SPECIES
Hf 178.49 Hf.upf
Mg 24.30 Mg.upf
Se 78.96 Se.upf
CELL_PARAMETERS angstrom
6.467 -3.739 0.000
6.467 3.739 0.000
-6.406 0.000 6.585
ATOMIC_POSITIONS angstrom
Hf 6.467 1.946 0.000
Hf -3.219 0.000 6.522
Hf 9.747 0.000 0.064
Hf 6.467 -1.946 0.000
Mg 3.264 0.000 3.293
Se 2.149 1.869 1.635
Se -1.066 0.000 1.653
Se 4.379 1.869 4.950
Se 1.135 0.000 5.026
Se 5.393 0.000 1.560
Se 2.149 -1.869 1.635
Se 7.594 0.000 4.933
Se 4.379 -1.869 4.950
```

=====

No. 2
Here is an optimized crystal structure of NaTmTcO5 from Alexandria. Energies are from PBE. Values from VASP.

The total energy is -7.20 eV/atom. The density of states at the Fermi level comes out at 2.9 states/eV/cell. Its space group is No. 15. Its crystal system is monoclinic. For the raw formation energy, the calculation gives -2.08 eV/atom.

```
&SYSTEM
  ibrav = 0, nat = 16, ntyp = 4
/
ATOMIC_SPECIES
Na 22.99 Na.upf
Tm 168.93 Tm.upf
Tc 98.00 Tc.upf
O 16.00 O.upf
CELL_PARAMETERS angstrom
3.615 -4.818 0.000
3.615 4.818 0.000
-2.892 0.000 7.357
ATOMIC_POSITIONS angstrom
Na 1.446 2.998 5.518
Na 2.892 -2.998 1.839
Tm 3.615 0.000 0.000
Tm 2.169 0.000 3.678
Tc 2.892 3.199 1.839
Tc 1.446 -3.199 5.518
O -1.437 0.522 6.730
O 1.821 2.082 2.747
O 0.008 -0.522 3.052
O 3.963 2.082 0.931
O 1.446 0.768 5.518
O 2.892 -0.768 1.839
O 0.375 -2.082 6.426
O 4.330 0.522 4.305
O 2.517 -2.082 4.609
O 5.776 -0.522 0.627
```

=====

No. 3
Here is an optimized crystal structure of SrPmNdSm from Alexandria. Energies are from PBE. Values from VASP.

The total energy is -3.76 eV/atom. The density of states at the Fermi level comes out at 8.2 states/eV/cell. Its space group is No. 216. Its crystal system is cubic.

```
&SYSTEM
  ibrav = 0, nat = 4, ntyp = 4
/
ATOMIC_SPECIES
Sr 87.62 Sr.upf
Pm 145.00 Pm.upf
Nd 144.24 Nd.upf
Sm 150.36 Sm.upf
CELL_PARAMETERS angstrom
0.000 4.231 4.231
4.231 0.000 4.231
4.231 4.231 0.000
ATOMIC_POSITIONS angstrom
Sr 0.000 0.000 0.000
Pm 4.231 4.231 4.231
Nd 6.347 6.347 6.347
Sm 2.116 2.116 2.116
```

=====

No. 4
Here is an optimized crystal structure of Cu2ReAs from Alexandria. Energies are from PBE. Values from VASP.

The total energy is -6.12 eV/atom. The density of states at the Fermi level comes out at 2.2 states/eV/cell. Its space group is No. 99. Its crystal system is tetragonal.

```
&SYSTEM
  ibrav = 0, nat = 4, ntyp = 3
/
ATOMIC_SPECIES
Cu 63.55 Cu.upf
Re 186.21 Re.upf
As 74.92 As.upf
CELL_PARAMETERS angstrom
3.151 0.000 0.000
0.000 3.151 0.000
0.000 0.000 5.543
ATOMIC_POSITIONS angstrom
Cu 0.000 0.000 0.000
Cu 1.575 1.575 1.147
Re 0.000 0.000 2.715
As 1.575 1.575 3.984
```

=====

No. 5
Here is an optimized crystal structure of SrZrS3 from Alexandria. Energies are from PBE. Values from VASP.

The total energy is -6.30 eV/atom. Its space group is No. 62. Its crystal system is orthorhombic. For the raw formation energy, the calculation gives -1.78 eV/atom.

```
&SYSTEM
  ibrav = 0, nat = 20, ntyp = 3
/
ATOMIC_SPECIES
Sr 87.62 Sr.upf
Zr 91.22 Zr.upf
S 32.06 S.upf
CELL_PARAMETERS angstrom
7.186 0.000 0.000
0.000 9.842 0.000
0.000 0.000 6.789
ATOMIC_POSITIONS angstrom
Sr 0.577 2.461 0.169
Sr 3.016 7.382 3.563
Sr 4.170 2.461 3.225
Sr 6.609 7.382 6.620
Zr 0.000 0.000 3.394
Zr 0.000 4.921 3.394
Zr 3.593 0.000 0.000
Zr 3.593 4.921 0.000
S 0.144 7.382 2.725
S 1.413 5.419 5.484
S 1.413 9.344 5.484
S 2.180 0.498 2.090
S 2.180 4.423 2.090
S 3.449 2.461 6.120
S 3.737 7.382 0.669
S 5.006 5.419 4.699
S 5.006 9.344 4.699
S 5.773 0.498 1.305
S 5.773 4.423 1.305
S 7.042 2.461 4.064
```

=====

No. 6
Here is an optimized crystal structure of CoReMo from Alexandria. Energies are from PBE. Values from VASP.

The total energy is -9.98 eV/atom. The density of states at the Fermi level comes out at 3.6 states/eV/cell. Its space group is No. 44. Its crystal system is orthorhombic.

```
&SYSTEM
  ibrav = 0, nat = 3, ntyp = 3
/
ATOMIC_SPECIES
Co 58.93 Co.upf
Re 186.21 Re.upf
Mo 95.94 Mo.upf
CELL_PARAMETERS angstrom
-1.309 1.955 4.103
1.309 -1.955 4.103
1.309 1.955 -4.103
ATOMIC_POSITIONS angstrom
Co 0.000 0.000 0.000
Re 0.000 0.000 2.841
Mo 0.000 0.000 5.474
```

=====

No. 7
Here is an optimized crystal structure of Zn2Sn from Alexandria. Energies are from PBE. Values from VASP.

The total energy is -2.08 eV/atom. The density of states at the Fermi level comes out at 1.1 states/eV/cell. Its space group is No. 2. Its crystal system is triclinic.

```
&SYSTEM
  ibrav = 0, nat = 3, ntyp = 2
/
ATOMIC_SPECIES
Zn 65.41 Zn.upf
Sn 118.71 Sn.upf
CELL_PARAMETERS angstrom
3.073 0.000 0.000
1.458 4.144 0.000
0.092 2.251 4.821
ATOMIC_POSITIONS angstrom
Zn 0.793 0.937 0.640
Zn 3.831 5.457 4.181
Sn 0.775 3.197 2.410
```

=====

No. 8
Here is an optimized crystal structure of Ca2ZnH12Rh3 from Alexandria. Energies are from PBE. Values from VASP.

The total energy is -4.01 eV/atom. The density of states at the Fermi level comes out at 2.7 states/eV/cell. Its space group is No. 166. Its crystal system is trigonal.

```
&SYSTEM
  ibrav = 0, nat = 18, ntyp = 4
/
ATOMIC_SPECIES
Ca 40.08 Ca.upf
Zn 65.41 Zn.upf
H 1.01 H.upf
Rh 102.91 Rh.upf
CELL_PARAMETERS angstrom
3.170 1.830 4.567
-3.170 1.830 4.567
0.000 -3.661 4.567
ATOMIC_POSITIONS angstrom
Ca 0.000 0.000 1.709
Ca 0.000 0.000 11.992
Zn 0.000 0.000 6.851
H -1.541 -0.890 6.228
H 0.000 -1.638 4.376
H -1.418 0.819 4.376
H -1.418 -0.819 9.325
H 0.000 -1.780 7.473
H -1.541 0.890 7.473
H 1.541 -0.890 6.228
H 0.000 1.780 6.228
H 1.418 0.819 4.376
H 1.418 -0.819 9.325
H 0.000 1.638 9.325
H 1.541 0.890 7.473
Rh -1.585 -0.915 4.567
Rh -1.585 0.915 9.134
Rh 0.000 1.830 4.567
```

=====

No. 9
Here is an optimized crystal structure of NiAsSBr2 from Alexandria. Energies are from PBE. Values from VASP.

The total energy is -2.56 eV/atom. The density of states at the Fermi level comes out at 8.4 states/eV/cell. Its space group is No. 123. Its crystal system is tetragonal. For the raw formation energy, the calculation gives 1.02 eV/atom.

```
&SYSTEM
  ibrav = 0, nat = 5, ntyp = 4
/
ATOMIC_SPECIES
Ni 58.69 Ni.upf
As 74.92 As.upf
S 32.06 S.upf
Br 79.90 Br.upf
CELL_PARAMETERS angstrom
5.153 0.000 0.000
0.000 5.153 0.000
0.000 0.000 4.873
ATOMIC_POSITIONS angstrom
Ni 0.000 0.000 0.000
As 2.577 2.577 0.000
S 2.577 2.577 2.437
Br 0.000 2.577 2.437
Br 2.577 0.000 2.437
```

=====

No. 10
Here is an optimized crystal structure of Cs2AuI3 from Alexandria. Energies are from PBE. Values from VASP.

The total energy is -2.63 eV/atom. The density of states at the Fermi level comes out at 0.0 states/eV/cell. Its space group is No. 69. Its crystal system is orthorhombic. For the raw formation energy, the calculation gives -1.02 eV/atom.

```
&SYSTEM
  ibrav = 0, nat = 12, ntyp = 3
/
ATOMIC_SPECIES
Cs 132.91 Cs.upf
Au 196.97 Au.upf
I 126.90 I.upf
CELL_PARAMETERS angstrom
0.000 6.674 9.569
5.062 0.000 9.569
5.062 6.674 0.000
ATOMIC_POSITIONS angstrom
Cs 7.715 6.674 9.569
Cs 2.531 3.337 4.784
Cs 7.593 10.011 14.353
Cs 2.409 6.674 9.569
Au 5.062 6.674 3.766
Au 5.062 6.674 15.371
I 5.062 2.232 7.440
I 5.062 2.232 11.697
I 5.062 6.674 6.460
I 5.062 6.674 12.677
I 5.062 11.116 7.440
I 5.062 11.116 11.697
```

=====

No. 11
Here is an optimized crystal structure of NpMn2Co from Alexandria. Energies are from PBE. Values from VASP.

The total energy is -9.10 eV/atom. The density of states at the Fermi level comes out at 7.0 states/eV/cell. Its space group is No. 166. Its crystal system is trigonal.

```
&SYSTEM
  ibrav = 0, nat = 4, ntyp = 3
/
ATOMIC_SPECIES
Np 237.00 Np.upf
Mn 54.94 Mn.upf
Co 58.93 Co.upf
CELL_PARAMETERS angstrom
1.353 0.781 9.300
-1.353 0.781 9.300
0.000 -1.562 9.300
ATOMIC_POSITIONS angstrom
Np 0.000 0.000 0.000
Mn 0.000 0.000 2.703
Mn 0.000 0.000 25.198
Co 0.000 0.000 13.950
```

=====

No. 12
Here is an optimized crystal structure of K3Cd7Ag2 from Alexandria. Energies are from PBE. Values from VASP.

The total energy is -1.37 eV/atom. The density of states at the Fermi level comes out at 2.5 states/eV/cell. Its space group is No. 166. Its crystal system is trigonal.

```
&SYSTEM
  ibrav = 0, nat = 12, ntyp = 3
/
ATOMIC_SPECIES
K 39.10 K.upf
Cd 112.41 Cd.upf
Ag 107.87 Ag.upf
CELL_PARAMETERS angstrom
3.130 1.807 9.832
-3.130 1.807 9.832
0.000 -3.614 9.832
ATOMIC_POSITIONS angstrom
K 0.000 0.000 0.000
K 0.000 0.000 4.275
K 0.000 0.000 25.223
Cd -1.560 -0.901 12.158
Cd 0.000 -1.801 17.339
Cd -1.560 0.901 17.339
Cd 0.000 0.000 14.749
Cd 1.560 -0.901 12.158
Cd 0.000 1.801 12.158
Cd 1.560 0.901 17.339
Ag 0.000 0.000 9.817
Ag 0.000 0.000 19.681
```

=====

| no. | total magnetic moment (μB per cell) |
| --- | --- |
| 1 | 0.00 |
| 2 | 2.02 |
| 3 | 1.28 |
| 4 | 0.00 |
| 5 | 0.00 |
| 6 | 0.96 |
| 7 | 0.00 |
| 8 | 0.00 |
| 9 | 1.36 |
| 10 | 0.00 |
| 11 | 9.50 |
| 12 | 0.00 |